5
Lattice="4.4026 0.0000 0.0000 0.0000 4.3246 0.0000 0.0000 0.0000 4.4026" Properties=species:S:1:pos:R:3 comment="PBE LiCaAsIr2, relaxed" total_energy_ev_per_cell=-24.9 sg=P4/mmm formation_energy_ev_per_atom=0.27 pbc="T T T"
As 0.0000 2.1623 0.0000
Ir 0.0000 0.0000 2.2013
Ir 2.2013 0.0000 0.0000
Ca 2.2013 2.1623 2.2013
Li 0.0000 0.0000 0.0000

***

4
Lattice="-0.7330 -3.8169 -0.6211 1.8116 0.4608 -4.9696 4.8920 -1.2114 1.6709" Properties=species:S:1:pos:R:3 comment="PBE NaSm2Al, relaxed" total_energy_ev_per_cell=-14.5 sg=P4/mmm polymorph_energy_kcal_per_mol_atoms=1.62 formation_energy_ev_per_atom=-0.01 pbc="T T T"
Na -0.3665 -1.9084 -0.3106
Al 2.9853 -2.2837 -1.9599
Sm 2.4460 -0.6057 0.8355
Sm 0.9058 0.2304 -2.4848

***

10
Lattice="-3.7672 -0.4477 2.0594 3.1975 -0.3830 5.7657 1.2237 10.6443 0.0285" Properties=species:S:1:pos:R:3 comment="PBE PaAgSe3, relaxed" total_energy_ev_per_cell=-54.6 sg=Cmc2_1 polymorph_energy_kcal_per_mol_atoms=0.77 e_form_raw_ev_per_atom=-0.90 pbc="T T T"
Pa 1.2749 6.8007 3.8105
Pa -1.9800 3.1756 1.5925
Ag 0.5643 7.3478 7.1536
Ag 1.1930 2.3336 2.6896
Se -1.3515 7.6929 3.7242
Se 2.4895 2.0626 5.0022
Se -1.0662 1.0050 2.7921
Se 1.9255 8.7839 5.4319
Se 0.0869 5.0525 5.7815
Se 0.4154 4.7792 1.7989

***

12
Lattice="4.2787 0.7174 -0.0357 0.9359 7.4981 -2.4190 0.1346 -0.3349 9.0899" Properties=species:S:1:pos:R:3 comment="PBE BaPrSi4, relaxed" total_energy_ev_per_cell=-62.0 sg=P-1 e_form_raw_ev_per_atom=-0.44 pbc="T T T"
Ba 1.3326 5.5241 5.6200
Ba 4.0166 2.3564 1.0153
Pr 4.0620 2.3102 5.5401
Pr 1.2872 5.5704 1.0951
Si 3.2481 7.1013 3.1491
Si 2.1011 0.7793 3.4861
Si 3.5876 4.8296 -1.1908
Si 1.7616 3.0510 7.8260
Si 1.7044 3.1643 3.3771
Si 3.6448 4.7163 3.2581
Si 2.1355 0.7805 7.6454
Si 3.2137 7.1000 -1.0102

***

10
Lattice="4.1557 0.0000 0.0000 0.0000 4.1557 0.0000 0.0000 0.0000 10.2050" Properties=species:S:1:pos:R:3 comment="PBE Ca2MnP3Pt4, relaxed" total_energy_ev_per_cell=-61.1 sg=P-4m2 formation_energy_ev_per_atom=-0.76 pbc="T T T"
Ca 2.0779 0.0000 2.4933
Ca 0.0000 2.0779 7.7118
Mn 2.0779 2.0779 5.1025
P 0.0000 0.0000 5.1025
P 2.0779 0.0000 8.8400
P 0.0000 2.0779 1.3650
Pt 2.0779 2.0779 0.0000
Pt 0.0000 0.0000 0.0000
Pt 2.0779 0.0000 6.5364
Pt 0.0000 2.0779 3.6686

***

4
Lattice="4.7597 -0.0248 0.0048 3.8821 2.7540 0.0048 0.7844 0.2477 5.4913" Properties=species:S:1:pos:R:3 comment="PBE CaRu2Au, relaxed" total_energy_ev_per_cell=-22.8 sg=Cm polymorph_energy_kcal_per_mol_atoms=3.58 formation_energy_ev_per_atom=0.25 pbc="T T T"
Ru 8.5990 2.7157 0.3811
Ru 2.3524 0.7429 1.1255
Ca 7.0618 2.2302 4.0865
Au 4.7681 1.5058 2.6676

***

5
Lattice="3.8315 0.0000 0.0000 0.0000 3.8315 0.0000 0.0000 0.0000 3.8315" Properties=species:S:1:pos:R:3 comment="PBE NaHfN3, relaxed" total_energy_ev_per_cell=-27.7 sg=Pm-3m e_form_raw_ev_per_atom=1.71 pbc="T T T"
Na 0.0000 0.0000 0.0000
Hf 1.9157 1.9157 1.9157
N 0.0000 1.9157 0.0000
N 0.0000 0.0000 1.9157
N 1.9157 0.0000 0.0000

***

5
Lattice="-0.2358 2.4453 2.9774 -3.8471 -0.3129 -0.0477 -1.6280 -4.7508 6.2749" Properties=species:S:1:pos:R:3 comment="PBE Zr2Nb2Hg, relaxed" total_energy_ev_per_cell=-35.3 sg=I4/mmm polymorph_energy_kcal_per_mol_atoms=6.94 formation_energy_ev_per_atom=0.44 pbc="T T T"
Nb -1.9526 -0.6197 5.3586
Nb -3.7582 -1.9987 3.8460
Hg 0.0000 0.0000 0.0000
Zr -1.9594 -0.0876 2.4189
Zr -3.7514 -2.5308 6.7857

***

10
Lattice="9.8620 0.0000 0.0000 0.0000 9.8620 0.0000 0.0000 0.0000 4.8583" Properties=species:S:1:pos:R:3 comment="PBE Rb2CaI2, relaxed" total_energy_ev_per_cell=-23.4 sg=P4/mbm e_form_raw_ev_per_atom=-0.93 pbc="T T T"
I 3.3873 8.3183 0.0000
I 8.3183 6.4748 0.0000
I 6.4748 1.5438 0.0000
I 1.5438 3.3873 0.0000
Ca 0.0000 0.0000 0.0000
Ca 4.9310 4.9310 0.0000
Rb 1.4687 6.3998 2.4292
Rb 6.3998 8.3933 2.4292
Rb 8.3933 3.4623 2.4292
Rb 3.4623 1.4687 2.4292

***

4
Lattice="-1.6965 -4.5438 1.7672 3.1722 -3.8679 -1.2743 0.7381 4.6085 2.2056" Properties=species:S:1:pos:R:3 comment="PBE CoHgAs2, relaxed" total_energy_ev_per_cell=-14.5 sg=I-4m2 formation_energy_ev_per_atom=0.56 pbc="T T T"
As 0.0000 0.0000 0.0000
As 2.3241 -1.7326 0.5889
Co 0.7379 -4.2059 0.2465
Hg -0.1103 -2.0706 2.1097

***

4
Lattice="-3.3067 1.8401 0.0353 -1.9294 -3.4904 1.2056 0.6187 1.0354 3.9880" Properties=species:S:1:pos:R:3 comment="PBE NbAl2Au, relaxed" total_energy_ev_per_cell=-22.5 sg=P4/mmm formation_energy_ev_per_atom=-0.42 pbc="T T T"
Nb -2.3087 -0.3074 2.6144
Au -1.6534 0.9200 0.0176
Al 0.3094 0.5177 1.9940
Al -0.9647 -1.7452 0.6028

***

4
Lattice="-1.0175 4.5095 1.3604 -3.5639 2.4215 -2.1578 -6.4200 -0.3357 4.8462" Properties=species:S:1:pos:R:3 comment="PBE AcLaTlI, relaxed" total_energy_ev_per_cell=-15.6 sg=R3m polymorph_energy_kcal_per_mol_atoms=0.00 e_form_raw_ev_per_atom=-0.67 pbc="T T T"
Ac -5.2914 6.5471 -0.0556
La -6.4325 2.7937 2.9979
Tl -9.0140 4.5338 3.8337
I -3.6274 1.1745 1.9285

***

4
Lattice="10.6113 0.0083 0.0048 10.2434 2.7701 0.0048 10.2434 1.3647 2.4106" Properties=species:S:1:pos:R:3 comment="PBE KRe2Tc, relaxed" total_energy_ev_per_cell=-33.5 sg=R-3m polymorph_energy_kcal_per_mol_atoms=0.00 formation_energy_ev_per_atom=0.72 pbc="T T T"
K 23.3235 3.1073 1.8152
Re 30.6704 4.0861 2.3870
Re 15.9766 2.1285 1.2434
Tc 7.7745 1.0358 0.6051

***

8
Lattice="-0.6267 -1.3033 -4.9893 1.5018 -4.8543 1.0794 -8.6613 -5.4991 -0.1798" Properties=species:S:1:pos:R:3 comment="PBE SrZnIn2, relaxed" total_energy_ev_per_cell=-17.4 sg=I-42d formation_energy_ev_per_atom=-0.06 pbc="T T T"
Sr 0.0000 0.0000 0.0000
Sr -4.4252 -4.9406 -3.5620
Zn 0.4376 -3.0788 -1.9550
Zn -3.3610 -6.7161 -0.5277
In -2.2862 -2.6233 -2.3666
In -1.3881 -4.7444 -0.6557
In -5.9686 -7.0772 -1.4579
In -5.9294 -8.8684 -3.6992

***

8
Lattice="4.4339 0.0000 0.0000 0.0000 7.9697 0.2487 0.0000 -2.6807 8.0635" Properties=species:S:1:pos:R:3 comment="PBE K2ZrTe4Pb, relaxed" total_energy_ev_per_cell=-33.9 sg=P2/m e_form_raw_ev_per_atom=-0.86 pbc="T T T"
K 2.2169 -1.3404 4.0317
K 0.0000 2.6445 4.1561
Zr 0.0000 0.0000 0.0000
Te 2.2169 1.1553 1.6598
Te 2.2169 4.1336 6.6523
Te 0.0000 -0.2476 6.4439
Te 0.0000 5.5366 1.8682
Pb 2.2169 3.9848 0.1243

***

10
Lattice="4.6268 0.0000 0.0000 2.3134 4.0070 0.0000 2.3134 1.3357 5.7189" Properties=species:S:1:pos:R:3 comment="PBE SrMgH6Pt2, relaxed" total_energy_ev_per_cell=-39.9 sg=R-3m pbc="T T T"
Sr 0.0000 0.0000 0.0000
Mg 4.6268 2.6713 2.8595
H 3.4782 3.3345 4.5371
H 4.6268 1.3449 4.5371
H 3.4781 2.0082 1.1818
H 5.7755 2.0081 1.1818
H 4.6269 3.9977 1.1818
H 5.7755 3.3345 4.5371
Pt 6.9402 4.0070 3.5881
Pt 2.3134 1.3357 2.1309

***

4
Lattice="-0.6751 1.6500 2.7505 -0.1130 -1.5769 2.8713 7.7591 1.4633 2.9797" Properties=species:S:1:pos:R:3 comment="PBE Hf2TiS, relaxed" total_energy_ev_per_cell=-34.3 sg=R3m e_form_raw_ev_per_atom=-0.59 pbc="T T T"
Hf 5.9813 1.1444 2.7347
Hf 1.5174 0.3437 2.1193
Ti 3.5015 0.7711 4.3030
S 7.2155 1.5088 6.7251

***

5
Lattice="-3.1232 1.6114 -1.6713 -1.8603 -3.4130 0.1856 0.2047 2.4616 6.5216" Properties=species:S:1:pos:R:3 comment="PBE AcTaFeP2, relaxed" total_energy_ev_per_cell=-39.3 sg=I-4m2 formation_energy_ev_per_atom=-0.80 pbc="T T T"
Ac 0.0000 0.0000 0.0000
Ta -2.0737 -0.9261 2.9822
Fe -2.7051 1.5861 2.0538
P -3.1025 -0.4840 0.8005
P -1.6762 1.1439 4.2354

***

8
Lattice="-1.2839 1.9751 -5.2699 -0.0858 -5.7449 0.5562 -3.8244 1.3233 4.1163" Properties=species:S:1:pos:R:3 comment="PBE Ti5NbSn2, relaxed" total_energy_ev_per_cell=-59.7 sg=I4/mmm polymorph_energy_kcal_per_mol_atoms=0.00 formation_energy_ev_per_atom=-0.27 pbc="T T T"
Ti -3.6828 -2.4513 0.9994
Ti -1.1291 -4.1002 1.5761
Ti -2.9981 -0.5668 3.3558
Ti -1.7283 -0.2406 -1.3374
Ti -1.0858 -1.2278 1.2974
Nb -3.0416 -3.4393 3.6345
Sn -3.6403 0.4211 0.7211
Sn -1.7710 -3.1131 -1.0589

***

11
Lattice="10.2231 0.0032 0.0194 0.5202 3.2228 0.0000 2.5936 -0.4187 4.4131" Properties=species:S:1:pos:R:3 comment="PBE Ru2C3N6, relaxed" total_energy_ev_per_cell=-91.4 sg=C2/m polymorph_energy_kcal_per_mol_atoms=1.93 e_form_raw_ev_per_atom=0.43 pbc="T T T"
Ru 4.2179 2.6259 0.2903
Ru 9.1190 0.1814 4.1422
C 8.0143 2.0131 1.9861
C 5.3227 0.7942 2.4464
C 1.2968 -0.2093 2.2065
N 5.7098 0.7317 3.5962
N 7.6272 2.0756 0.8363
N 4.9978 0.8466 1.2283
N 8.3392 1.9607 3.2042
N 2.8256 2.8507 1.5378
N 10.5114 -0.0434 2.8947

***

Number 1: total magnetic moment 0.00 μB/f.u.. Number 2: total magnetic moment 0.00 μB/f.u.. Number 3: total magnetic moment 0.00 μB/f.u.. Number 4: total magnetic moment 0.00 μB/f.u.. Number 5: total magnetic moment 3.68 μB/f.u.. Number 6: total magnetic moment 0.00 μB/f.u.. Number 7: total magnetic moment 2.14 μB/f.u.. Number 8: total magnetic moment 0.00 μB/f.u.. Number 9: total magnetic moment 0.00 μB/f.u.. Number 10: total magnetic moment 1.23 μB/f.u.. Number 11: total magnetic moment 0.00 μB/f.u.. Number 12: total magnetic moment 0.00 μB/f.u.. Number 13: total magnetic moment 0.00 μB/f.u.. Number 14: total magnetic moment 0.00 μB/f.u.. Number 15: total magnetic moment 0.00 μB/f.u.. Number 16: total magnetic moment 0.00 μB/f.u.. Number 17: total magnetic moment 0.00 μB/f.u.. Number 18: total magnetic moment 1.92 μB/f.u.. Number 19: total magnetic moment 1.47 μB/f.u.. Number 20: total magnetic moment 0.00 μB/f.u..